First-principles (GGA-PBE) data for a relaxed structure of CsSmFeSe3, as listed in the Open Quantum Materials Database.

Results
uncorrected energy: -0.1851 Ha/atom

a = 17.522 Å, b = 4.407 Å, c = 9.352 Å
α = 90.00°, β = 102.05°, γ = 90.00°
Space group C2/m (No. 12)
Symmetry-distinct sites (fractional):
Cs (0.153, 0.000, 0.063) [4 per cell]
Sm (0.164, 0.000, 0.574) [4 per cell]
Fe (0.000, 0.500, 0.268) [4 per cell]
Se (0.000, 0.000, 0.500) [2 per cell]
Se (0.000, 0.500, 0.000) [2 per cell]
Se (0.146, 0.500, 0.765) [4 per cell]
Se (0.161, 0.500, 0.361) [4 per cell]

First-principles (GGA-PBE) data for a relaxed structure of ZnAgSeO, as listed in the Open Quantum Materials Database.

Results
uncorrected energy: -0.1322 Ha/atom
energy above the most stable polymorph in this dataset: 89 meV per atom

a = 5.731 Å, b = 6.738 Å, c = 7.635 Å
α = 90.00°, β = 90.00°, γ = 90.00°
Space group P2_12_12_1 (No. 19)
Symmetry-distinct sites (fractional):
Zn (0.207, 0.151, 0.057) [4 per cell]
Ag (0.201, 0.440, 0.664) [4 per cell]
Se (0.001, 0.350, 0.362) [4 per cell]
O (0.004, 0.737, 0.627) [4 per cell]

Among the records above, which one has the highest uncorrected energy? ZnAgSeO

Number 1 is which compound? CsSmFeSe3

Number 1 is which compound? CsSmFeSe3

Number 2 is which compound? ZnAgSeO